# MgIr2Pb, optimized geometry, DFT PBE-GGA
data_MgIr2Pb
_symmetry_space_group_name_H-M 'C m m m'
_symmetry_Int_Tables_number 65
_symmetry_space_group_name_Hall '-C 2 2'
_cell_length_a 3.100
_cell_length_b 5.008
_cell_length_c 9.277
_cell_angle_alpha 90.00
_cell_angle_beta 90.00
_cell_angle_gamma 90.00
loop_
_atom_site_label
_atom_site_type_symbol
_atom_site_fract_x
_atom_site_fract_y
_atom_site_fract_z
Mg1 Mg 0.000 0.000 0.000
Ir1 Ir 0.000 0.500 0.229
Pb1 Pb 0.000 0.000 0.500
# Magnetic moment (μB per cell): 0.00
# DFT formation energy (meV per atom): 341
# Calculated volume (Å³ per cell): 144.0
# D(E_F) (states/eV/cell): 5.3



# Mg2IrPb, optimized geometry, DFT PBE-GGA
data_Mg2IrPb
_symmetry_space_group_name_H-M 'F -4 3 m'
_symmetry_Int_Tables_number 216
_symmetry_space_group_name_Hall 'F -4 2 3'
_cell_length_a 6.741
_cell_length_b 6.741
_cell_length_c 6.741
_cell_angle_alpha 90.00
_cell_angle_beta 90.00
_cell_angle_gamma 90.00
loop_
_atom_site_label
_atom_site_type_symbol
_atom_site_fract_x
_atom_site_fract_y
_atom_site_fract_z
Mg1 Mg 0.000 0.000 0.000
Mg2 Mg 0.250 0.250 0.250
Ir1 Ir 0.000 0.000 0.500
Pb1 Pb 0.250 0.250 0.750
# Magnetic moment (μB per cell): 0.00
# DFT formation energy (meV per atom): -8
# Calculated volume (Å³ per cell): 306.3
# D(E_F) (states/eV/cell): 10.0



# MgIr2Pb, optimized geometry, DFT PBE-GGA
data_MgIr2Pb
_symmetry_space_group_name_H-M 'I -4 2 d'
_symmetry_Int_Tables_number 122
_symmetry_space_group_name_Hall 'I -4 2bw'
_cell_length_a 7.382
_cell_length_b 7.382
_cell_length_c 5.621
_cell_angle_alpha 90.00
_cell_angle_beta 90.00
_cell_angle_gamma 90.00
loop_
_atom_site_label
_atom_site_type_symbol
_atom_site_fract_x
_atom_site_fract_y
_atom_site_fract_z
Mg1 Mg 0.000 0.000 0.000
Ir1 Ir 0.239 0.250 0.125
Pb1 Pb 0.000 0.000 0.500
# Magnetic moment (μB per cell): 0.00
# DFT formation energy (meV per atom): 567
# Calculated volume (Å³ per cell): 306.3
# D(E_F) (states/eV/cell): 17.2



# MgIr2Pb2, optimized geometry, DFT PBE-GGA
data_MgIr2Pb2
_symmetry_space_group_name_H-M 'P 4/m b m'
_symmetry_Int_Tables_number 127
_symmetry_space_group_name_Hall '-P 4 2ab'
_cell_length_a 7.163
_cell_length_b 7.163
_cell_length_c 3.979
_cell_angle_alpha 90.00
_cell_angle_beta 90.00
_cell_angle_gamma 90.00
loop_
_atom_site_label
_atom_site_type_symbol
_atom_site_fract_x
_atom_site_fract_y
_atom_site_fract_z
Mg1 Mg 0.000 0.000 0.000
Ir1 Ir 0.136 0.364 0.000
Pb1 Pb 0.166 0.666 0.500
# Magnetic moment (μB per cell): 0.00
# DFT formation energy (meV per atom): 177
# Calculated volume (Å³ per cell): 204.2
# Energy above the lowest structure with this stoichiometry (eV per atom): 0.000
# D(E_F) (states/eV/cell): 7.4



Number 4 is which compound? MgIr2Pb2